VASP calculation (PBE) on a relaxed structure of Nd8MgGa2.

Cell lengths 4.9689, 8.0906, 9.2386 Å; angles 108.75, 105.60, 90.00 degrees
Closest atoms and distances in Å follow each position.
Fractional coordinates of all 11 atoms:
1 Mg 0.5000 0.0000 0.0000  8 Nd 3.32-3.55
2 Nd 0.6768 0.9462 0.3535  1 Ga 3.06, 1 Mg 3.32
3 Nd 0.9541 0.2634 0.9082  1 Ga 3.11, 2 Nd 3.44
4 Nd 0.3232 0.0538 0.6464  1 Ga 3.06, 1 Mg 3.32
5 Nd 0.4020 0.5385 0.8041  2 Ga 3.28, 6 Nd 3.47-3.66, 1 Mg 3.55
6 Nd 0.1771 0.2697 0.3542  3 Ga 3.13-3.14, 2 Nd 3.47
7 Nd 0.8229 0.7303 0.6458  3 Ga 3.13-3.14, 2 Nd 3.47
8 Nd 0.5980 0.4615 0.1959  2 Ga 3.28, 6 Nd 3.47-3.66, 1 Mg 3.55
9 Nd 0.0459 0.7366 0.0918  1 Ga 3.11, 2 Nd 3.44
10 Ga 0.2090 0.6743 0.4180  7 Nd 3.06-3.28
11 Ga 0.7910 0.3257 0.5820  7 Nd 3.06-3.28

Summary:
**DFT formation energy**: -191 meV/atom
**M_tot**: 0.0000 μB/atom
**Space-group type**: C2/m (12)


VASP calculation (PBE) on a relaxed structure of Ta2V5Ge3.

Cell lengths 5.0813, 8.3628, 8.3628 Å; angles 97.43, 72.31, 72.31 degrees
Closest atoms and distances in Å follow each position.
Fractional coordinates of all 20 atoms:
1 Ta 0.8576 0.4296 0.8553  2 V 2.63-2.88, 4 Ge 2.66-2.82
2 Ta 0.3576 0.8553 0.4296  2 V 2.63-2.88, 4 Ge 2.66-2.82
3 Ta 0.1424 0.5704 0.1447  2 V 2.63-2.88, 4 Ge 2.66-2.82
4 Ta 0.6424 0.1447 0.5704  2 V 2.63-2.88, 4 Ge 2.66-2.82
5 Ge 0.6337 0.5159 0.2167  5 V 2.47-2.62, 2 Ta 2.66
6 Ge 0.7500 0.0000 0.0000  6 V 2.44-2.48, 2 Ge 2.54
7 Ge 0.8663 0.7833 0.4841  5 V 2.47-2.62, 2 Ta 2.66
8 Ge 0.1337 0.2167 0.5159  5 V 2.47-2.62, 2 Ta 2.66
9 Ge 0.2500 0.0000 0.0000  6 V 2.44-2.48, 2 Ge 2.54
10 Ge 0.3663 0.4841 0.7833  5 V 2.47-2.62, 2 Ta 2.66
11 V 0.5715 0.7682 0.0888  3 Ge 2.47-2.48, 1 Ta 2.63
12 V 0.4990 0.7510 0.7510  3 Ge 2.44-2.54, 3 V 2.46-2.54
13 V 0.2500 0.5000 0.5000  4 V 2.46-2.54, 4 Ge 2.62
14 V 0.9990 0.7510 0.7510  3 Ge 2.44-2.54, 3 V 2.46-2.54
15 V 0.5010 0.2490 0.2490  3 Ge 2.44-2.54, 3 V 2.46-2.54
16 V 0.7500 0.5000 0.5000  4 V 2.46-2.54, 4 Ge 2.62
17 V 0.9285 0.9112 0.2318  3 Ge 2.47-2.48, 1 Ta 2.63
18 V 0.0010 0.2490 0.2490  3 Ge 2.44-2.54, 3 V 2.46-2.54
19 V 0.0715 0.0888 0.7682  3 Ge 2.47-2.48, 1 Ta 2.63
20 V 0.4285 0.2318 0.9112  3 Ge 2.47-2.48, 1 Ta 2.63

Summary:
**DFT formation energy**: 34 meV/atom
**M_tot**: 0.0000 μB/atom
**Space-group type**: Ibam (72)


VASP calculation (PBE) on a relaxed structure of KY2Cd.

Cell lengths 3.7490, 3.7490, 10.4719 Å; angles 90.00, 90.00, 89.98 degrees
Closest atoms and distances in Å follow each position.
Fractional coordinates of all 4 atoms:
1 Y 0.0000 0.0000 0.4200  4 Cd 3.19, 1 Y 3.56
2 Y 0.0000 0.0000 0.0800  4 Cd 3.19, 1 Y 3.56
3 K 0.5000 0.5000 0.7500  4 K 3.75
4 Cd 0.5000 0.5000 0.2500  8 Y 3.19

Summary:
**DFT formation energy**: 110 meV/atom
**M_tot**: 0.1939 μB/atom
**Space-group type**: P4/mmm (123)


VASP calculation (PBE) on a relaxed structure of PaTiRh6.

Cell lengths 4.8540, 7.4409, 12.1475 Å; angles 127.23, 131.13, 77.80 degrees
Closest atoms and distances in Å follow each position.
Fractional coordinates of all 16 atoms:
1 Rh 0.8619 0.7437 0.8689  1 Ti 2.76, 8 Rh 2.79-2.91, 3 Pa 2.80-2.85
2 Rh 0.6381 0.7563 0.1311  1 Ti 2.76, 8 Rh 2.79-2.91, 3 Pa 2.80-2.85
3 Rh 0.2849 0.0167 0.2653  8 Rh 2.71-2.91, 2 Ti 2.72, 2 Pa 2.91
4 Rh 0.8914 0.2566 0.3789  8 Rh 2.71-2.82, 3 Ti 2.74-2.84, 1 Pa 2.80
5 Rh 0.2151 0.4833 0.7347  8 Rh 2.71-2.91, 2 Ti 2.72, 2 Pa 2.91
6 Rh 0.3619 0.2437 0.8689  1 Ti 2.76, 8 Rh 2.79-2.91, 3 Pa 2.80-2.85
7 Rh 0.1086 0.7434 0.6211  8 Rh 2.71-2.82, 3 Ti 2.74-2.84, 1 Pa 2.80
8 Rh 0.7151 0.9833 0.7347  8 Rh 2.71-2.91, 2 Ti 2.72, 2 Pa 2.91
9 Rh 0.1381 0.2563 0.1311  1 Ti 2.76, 8 Rh 2.79-2.91, 3 Pa 2.80-2.85
10 Rh 0.7849 0.5167 0.2653  8 Rh 2.71-2.91, 2 Ti 2.72, 2 Pa 2.91
11 Rh 0.3914 0.7566 0.3789  8 Rh 2.71-2.82, 3 Ti 2.74-2.84, 1 Pa 2.80
12 Rh 0.6086 0.2434 0.6211  8 Rh 2.71-2.82, 3 Ti 2.74-2.84, 1 Pa 2.80
13 Ti 0.5000 0.5000 0.5000  12 Rh 2.72-2.84
14 Ti 0.0000 0.0000 0.5000  12 Rh 2.72-2.84
15 Pa 0.0000 0.5000 0.0000  12 Rh 2.80-2.91
16 Pa 0.5000 0.0000 0.0000  12 Rh 2.80-2.91

Summary:
**DFT formation energy**: -613 meV/atom
**M_tot**: 0.0000 μB/atom
**Space-group type**: C2/m (12)


VASP calculation (PBE) on a relaxed structure of NaPaSnHg.

Cell lengths 5.2647, 5.2647, 5.2647 Å; angles 60.00, 60.00, 60.00 degrees
Closest atoms and distances in Å follow each position.
Fractional coordinates of all 4 atoms:
1 Pa 0.0000 0.0000 0.0000  4 Sn 3.22, 4 Hg 3.22
2 Hg 0.7500 0.7500 0.7500  4 Na 3.22, 4 Pa 3.22
3 Sn 0.2500 0.2500 0.2500  4 Na 3.22, 4 Pa 3.22
4 Na 0.5000 0.5000 0.5000  4 Hg 3.22, 4 Sn 3.22

Summary:
**DFT formation energy**: -11 meV/atom
**M_tot**: 0.3873 μB/atom
**Space-group type**: F-43m (216)


VASP calculation (PBE) on a relaxed structure of AcNd6Er4.

Cell lengths 10.0240, 10.0240, 10.0240 Å; angles 55.83, 141.33, 141.33 degrees
Closest atoms and distances in Å follow each position.
Fractional coordinates of all 11 atoms:
1 Er 0.0000 0.0079 0.6356  5 Nd 3.31-3.56, 1 Er 3.49, 1 Ac 3.61
2 Er 0.6277 0.9921 0.9921  5 Nd 3.31-3.56, 1 Er 3.49, 1 Ac 3.61
3 Er 0.0000 0.6356 0.0079  5 Nd 3.31-3.56, 1 Er 3.49, 1 Ac 3.61
4 Er 0.3723 0.3644 0.3644  5 Nd 3.31-3.56, 1 Er 3.49, 1 Ac 3.61
5 Ac 0.0000 0.0000 0.0000  4 Nd 3.32, 4 Er 3.61
6 Nd 0.6404 0.1852 0.1852  5 Er 3.31-3.56, 3 Nd 3.38-3.41
7 Nd 0.5000 0.0000 0.5000  2 Ac 3.32, 4 Nd 3.41
8 Nd 0.3596 0.5448 0.5448  5 Er 3.31-3.56, 3 Nd 3.38-3.41
9 Nd 0.5000 0.5000 0.0000  2 Ac 3.32, 4 Nd 3.41
10 Nd 0.0000 0.4552 0.8148  5 Er 3.31-3.56, 3 Nd 3.38-3.41
11 Nd 0.0000 0.8148 0.4552  5 Er 3.31-3.56, 3 Nd 3.38-3.41

Summary:
**DFT formation energy**: 329 meV/atom
**M_tot**: 0.0000 μB/atom
**Space-group type**: I-42m (121)


VASP calculation (PBE) on a relaxed structure of Ce5PuPb3.

Cell lengths 8.7164, 8.7164, 9.1489 Å; angles 118.45, 118.45, 90.00 degrees
Closest atoms and distances in Å follow each position.
Fractional coordinates of all 18 atoms:
1 Pu 0.7500 0.2500 0.5000  4 Ce 2.59
2 Pu 0.2500 0.7500 0.5000  4 Ce 2.59
3 Pb 0.7500 0.7500 0.5000  10 Ce 3.38-3.42
4 Pb 0.2500 0.2500 0.5000  10 Ce 3.38-3.42
5 Pb 0.8756 0.6244 0.0000  1 Pb 3.07, 2 Ce 3.18
6 Pb 0.1244 0.3756 0.0000  1 Pb 3.07, 2 Ce 3.18
7 Pb 0.6244 0.1244 0.0000  1 Pb 3.07, 2 Ce 3.18
8 Pb 0.3756 0.8756 0.0000  1 Pb 3.07, 2 Ce 3.18
9 Ce 0.9736 0.4736 0.3169  1 Pu 2.59
10 Ce 0.3434 0.8434 0.3169  1 Pu 2.59
11 Ce 0.5264 0.6566 0.6831  1 Pu 2.59
12 Ce 0.1566 0.0264 0.6831  1 Pu 2.59
13 Ce 0.0264 0.5264 0.6831  1 Pu 2.59
14 Ce 0.4736 0.3434 0.3169  1 Pu 2.59
15 Ce 0.5000 0.5000 0.0000  6 Pb 3.38-3.45
16 Ce 0.8434 0.9736 0.3169  1 Pu 2.59
17 Ce 0.6566 0.1566 0.6831  1 Pu 2.59
18 Ce 0.0000 0.0000 0.0000  6 Pb 3.38-3.45

Summary:
**DFT formation energy**: -238 meV/atom
**M_tot**: 1.0451 μB/atom
**Energy above the most stable polymorph in this dataset**: 70 meV per atom
**Space-group type**: I4/mcm (140)


VASP calculation (PBE) on a relaxed structure of Er2Ga2Co.

Cell lengths 4.1244, 5.7088, 9.3431 Å; angles 88.74, 77.25, 68.82 degrees
Closest atoms and distances in Å follow each position.
Fractional coordinates of all 10 atoms:
1 Ga 0.3644 0.1510 0.1201  1 Co 2.58, 1 Ga 2.63
2 Ga 0.6356 0.8490 0.8799  1 Co 2.58, 1 Ga 2.63
3 Ga 0.9080 0.7446 0.4394  3 Co 2.39-2.50
4 Ga 0.0920 0.2554 0.5606  3 Co 2.39-2.50
5 Er 0.0718 0.7379 0.1185  6 Ga 2.92-3.12, 2 Co 3.11
6 Er 0.6746 0.3173 0.3334  7 Ga 2.93-3.26, 4 Co 2.99-3.17
7 Er 0.3254 0.6827 0.6666  7 Ga 2.93-3.26, 4 Co 2.99-3.17
8 Er 0.9282 0.2621 0.8815  6 Ga 2.92-3.12, 2 Co 3.11
9 Co 0.3637 0.9145 0.3580  4 Ga 2.39-2.58
10 Co 0.6363 0.0855 0.6420  4 Ga 2.39-2.58

Summary:
**DFT formation energy**: -544 meV/atom
**M_tot**: 0.0000 μB/atom
**Space-group type**: C2/m (12)


VASP calculation (PBE) on a relaxed structure of AcMgIr4.

Cell lengths 5.4271, 5.4271, 5.4271 Å; angles 60.00, 60.00, 60.00 degrees
Closest atoms and distances in Å follow each position.
Fractional coordinates of all 6 atoms:
1 Ac 0.2500 0.2500 0.2500  12 Ir 3.18, 4 Mg 3.32
2 Ir 0.6257 0.6257 0.1230  6 Ir 2.70-2.73
3 Ir 0.6257 0.1230 0.6257  6 Ir 2.70-2.73
4 Ir 0.6257 0.6257 0.6257  6 Ir 2.70-2.73
5 Ir 0.1230 0.6257 0.6257  6 Ir 2.70-2.73
6 Mg 0.0000 0.0000 0.0000  12 Ir 3.18, 4 Ac 3.32

Summary:
**DFT formation energy**: -341 meV/atom
**M_tot**: 0.0000 μB/atom
**Space-group type**: F-43m (216)


VASP calculation (PBE) on a relaxed structure of PaMnCrSn.

Cell lengths 4.6116, 4.6116, 4.6116 Å; angles 60.00, 60.00, 60.00 degrees
Closest atoms and distances in Å follow each position.
Fractional coordinates of all 4 atoms:
1 Cr 0.7500 0.7500 0.7500  4 Pa 2.82, 4 Sn 2.82
2 Sn 0.0000 0.0000 0.0000  4 Cr 2.82, 4 Mn 2.82
3 Pa 0.5000 0.5000 0.5000  4 Cr 2.82, 4 Mn 2.82
4 Mn 0.2500 0.2500 0.2500  4 Sn 2.82, 4 Pa 2.82

Summary:
**DFT formation energy**: 63 meV/atom
**M_tot**: 0.4780 μB/atom
**Space-group type**: F-43m (216)


VASP calculation (PBE) on a relaxed structure of MnSi4Cl.

Cell lengths 5.1681, 5.1681, 5.1681 Å; angles 60.00, 60.00, 60.00 degrees
Closest atoms and distances in Å follow each position.
Fractional coordinates of all 6 atoms:
1 Si 0.8708 0.3764 0.3764  6 Si 2.56-2.61
2 Si 0.3764 0.8708 0.3764  6 Si 2.56-2.61
3 Si 0.3764 0.3764 0.8708  6 Si 2.56-2.61
4 Si 0.3764 0.3764 0.3764  6 Si 2.56-2.61
5 Mn 0.0000 0.0000 0.0000  12 Si 3.03, 4 Cl 3.16
6 Cl 0.7500 0.7500 0.7500  12 Si 3.03, 4 Mn 3.16

Summary:
**M_tot**: 0.6906 μB/atom
**Formation energy from raw total energies**: 462 meV per atom
**Space-group type**: F-43m (216)


VASP calculation (PBE) on a relaxed structure of NaSn4PbSe8.

Cell lengths 8.0857, 8.0857, 8.8942 Å; angles 62.96, 62.96, 60.00 degrees
Closest atoms and distances in Å follow each position.
Fractional coordinates of all 14 atoms:
1 Pb 0.0120 0.0120 0.9641  6 Se 3.00-3.27
2 Se 0.2607 0.2607 0.7049  2 Sn 2.74, 1 Na 2.86, 1 Pb 3.00
3 Se 0.7631 0.7631 0.7106  3 Sn 2.83
4 Se 0.2198 0.7482 0.2837  3 Sn 2.71-2.84
5 Se 0.7482 0.2198 0.2837  3 Sn 2.71-2.84
6 Se 0.2349 0.2349 0.2952  3 Sn 2.80, 1 Na 2.90
7 Se 0.7738 0.2607 0.7049  2 Sn 2.74, 1 Na 2.86, 1 Pb 3.00
8 Se 0.7482 0.7482 0.2837  3 Sn 2.71-2.84
9 Se 0.2607 0.7738 0.7049  2 Sn 2.74, 1 Na 2.86, 1 Pb 3.00
10 Sn 0.6212 0.6212 0.1364  3 Se 2.71
11 Sn 0.0004 0.4939 0.5053  6 Se 2.74-2.84
12 Sn 0.4939 0.0004 0.5053  6 Se 2.74-2.84
13 Sn 0.0004 0.0004 0.5053  6 Se 2.74-2.84
14 Na 0.3627 0.3627 0.9118  4 Se 2.86-2.90

Summary:
**M_tot**: 0.0000 μB/atom
**Formation energy from raw total energies**: -433 meV per atom
**Space-group type**: R3m (160)


VASP calculation (PBE) on a relaxed structure of DyInRu2.

Cell lengths 3.4193, 4.6036, 4.6036 Å; angles 90.00, 90.00, 90.00 degrees
Closest atoms and distances in Å follow each position.
Fractional coordinates of all 4 atoms:
1 In 0.5000 0.5000 0.5000  8 Ru 2.87
2 Ru 0.0000 0.0000 0.5000  4 In 2.87, 4 Dy 2.87
3 Ru 0.0000 0.5000 0.0000  4 In 2.87, 4 Dy 2.87
4 Dy 0.5000 0.0000 0.0000  8 Ru 2.87

Summary:
**DFT formation energy**: -181 meV/atom
**M_tot**: 0.0014 μB/atom
**Space-group type**: P4/mmm (123)